Record 1
Density functional theory data (PBE) for crystalline TbPmPrSc at its relaxed geometry.

Summary:
space group: F-43m (216)
calculated density: 6.409 g/cm3
formation energy from the elements: 108 meV/atom
density of states at the Fermi level: 1.6762 states/eV/atom

a b c (Å): 7.977 7.977 7.977
angles (deg): 90.00 90.00 90.00
Element x y z (fractional)
Tb  0.000  0.000  0.000
Tb  0.000  0.500  0.500
Tb  0.500  0.000  0.500
Tb  0.500  0.500  0.000
Pm  0.250  0.250  0.250
Pm  0.250  0.750  0.750
Pm  0.750  0.250  0.750
Pm  0.750  0.750  0.250
Pr  0.250  0.250  0.750
Pr  0.250  0.750  0.250
Pr  0.750  0.250  0.250
Pr  0.750  0.750  0.750
Sc  0.000  0.000  0.500
Sc  0.000  0.500  0.000
Sc  0.500  0.000  0.000
Sc  0.500  0.500  0.500

***

Record 2
Density functional theory data (PBE) for crystalline Tb2Pm4PrSc at its relaxed geometry.

Summary:
space group: Pmmm (47)
calculated density: 6.895 g/cm3
formation energy from the elements: 27 meV/atom
density of states at the Fermi level: 1.4088 states/eV/atom

a b c (Å): 5.067 5.079 10.143
angles (deg): 90.00 90.00 90.00
Element x y z (fractional)
Tb  0.000  0.000  0.000
Tb  0.500  0.500  0.000
Pm  0.000  0.500  0.252
Pm  0.000  0.500  0.748
Pm  0.500  0.000  0.253
Pm  0.500  0.000  0.747
Pr  0.500  0.500  0.500
Sc  0.000  0.000  0.500